Compound: TaInOs2
Source: Alexandria
Functional: PBE-GGA
Structure: relaxed

## Properties
total magnetization = 0.00 μB per formula unit
formation enthalpy at 0 K = 316 meV/atom
E_tot = -0.6576 Ry per atom

Unit cell a=5.3161 b=5.3161 c=5.3161 alpha=145.82 beta=125.78 gamma=65.67
Last column: nearest neighbours and their distance in Å.
Fractional coordinates of all 4 atoms:
Ta: 0.7500 0.2500 0.5000  4 Os 2.61, 4 In 2.88
Os: 0.5155 0.5155 0.0000  2 Ta 2.61, 2 In 2.84, 4 Os 2.90
Os: 0.9845 0.9845 0.0000  2 Ta 2.61, 2 In 2.84, 4 Os 2.90
In: 0.2500 0.7500 0.5000  4 Os 2.84, 4 Ta 2.88, 2 In 3.12